The following is a DFT calculation (PBE with a Hubbard U) of a geometry-optimized ZnCrSnO4 structure.

Cell: 6.0444 6.2709 9.2596 Å, 90.00 90.00 90.00°
Space group Imma (No. 74)
Asymmetric unit:
Zn 0.0000 0.2500 0.1503 x4
Cr 0.2500 0.2500 0.7500 x4
Sn 0.0000 0.0000 0.5000 x4
O 0.0000 0.0221 0.7275 x8
O 0.2348 0.2500 0.4881 x8

Output
electronic total energy: -6.22 eV per atom
magnetization: 16.0 Bohr magnetons per cell